Entry 1:
Entry from Alexandria: a relaxed NaBeTe3 crystal (PBE).

Calculated values
mass density: 4.19 Mg/m³
ΔE_f (raw): 1.08 eV per atom
polymorph energy (0 for the lowest one): 1048 meV/atom
total magnetic moment: 0.00 μB/cell
uncorrected energy: -9.1 eV/cell
crystal system: cubic

Unit cell a=5.4778 b=5.4778 c=5.4778 alpha=90.00 beta=90.00 gamma=90.00
Element x y z (fractional)
Na1 0.0000 0.0000 0.0000
Be1 0.5000 0.5000 0.5000
Te1 0.0000 0.0000 0.5000
Te2 0.0000 0.5000 0.0000
Te3 0.5000 0.0000 0.0000

---

Entry 2:
Entry from Alexandria: a relaxed BiAsC crystal (PBE).

Calculated values
mass density: 6.55 Mg/m³
polymorph energy (0 for the lowest one): 96 meV/atom
total magnetic moment: 0.00 μB/cell
uncorrected energy: -31.9 eV/cell
crystal system: triclinic

Unit cell a=5.5716 b=5.6132 c=5.7755 alpha=116.51 beta=94.59 gamma=106.87
Element x y z (fractional)
Bi1 0.2127 0.2491 0.4985
Bi2 0.7873 0.7509 0.5015
As1 0.3148 0.8373 0.0303
As2 0.6852 0.1627 0.9697
C1 0.4877 0.3730 0.8961
C2 0.5123 0.6270 0.1039

---

Entry 3:
Entry from Alexandria: a relaxed SrTl2Ge2 crystal (PBE).

Calculated values
mass density: 7.45 Mg/m³
total magnetic moment: 0.00 μB/cell
uncorrected energy: -32.0 eV/cell
crystal system: tetragonal

Unit cell a=7.9846 b=7.9846 c=4.4882 alpha=90.00 beta=90.00 gamma=90.00
Element x y z (fractional)
Sr1 0.0000 0.0000 0.0000
Sr2 0.5000 0.5000 0.0000
Tl1 0.1729 0.3271 0.5000
Tl2 0.3271 0.8271 0.5000
Tl3 0.6729 0.1729 0.5000
Tl4 0.8271 0.6729 0.5000
Ge1 0.1093 0.6093 0.0000
Ge2 0.3907 0.1093 0.0000
Ge3 0.6093 0.8907 0.0000
Ge4 0.8907 0.3907 0.0000

---

Entry 4:
Entry from Alexandria: a relaxed Co3Te crystal (PBE).

Calculated values
mass density: 9.65 Mg/m³
ΔE_f (raw): 0.22 eV per atom
total magnetic moment: 7.20 μB/cell
uncorrected energy: -47.1 eV/cell
crystal system: orthorhombic

Unit cell a=4.2608 b=5.3567 c=4.5880 alpha=90.00 beta=90.00 gamma=90.00
Element x y z (fractional)
Co1 0.2500 0.0033 0.1536
Co2 0.2500 0.2500 0.6834
Co3 0.2500 0.4967 0.1536
Co4 0.7500 0.5033 0.8464
Co5 0.7500 0.7500 0.3166
Co6 0.7500 0.9967 0.8464
Te1 0.2500 0.7500 0.6628
Te2 0.7500 0.2500 0.3372

---

Entry 5:
Entry from Alexandria: a relaxed Pm3YNi2 crystal (PBE).

Calculated values
mass density: 6.78 Mg/m³
total magnetic moment: 0.00 μB/cell
uncorrected energy: -67.5 eV/cell
crystal system: monoclinic

Unit cell a=8.4508 b=8.4508 c=11.6505 alpha=122.80 beta=122.80 gamma=27.04
Element x y z (fractional)
Pm1 0.0813 0.0813 0.4436
Pm2 0.0830 0.0830 0.9389
Pm3 0.3454 0.3454 0.7519
Pm4 0.6546 0.6546 0.2481
Pm5 0.9170 0.9170 0.0611
Pm6 0.9187 0.9187 0.5564
Y1 0.3431 0.3431 0.2508
Y2 0.6569 0.6569 0.7492
Ni1 0.2677 0.2677 0.4487
Ni2 0.2677 0.2677 0.9516
Ni3 0.7323 0.7323 0.0484
Ni4 0.7323 0.7323 0.5513

---

Entry 6:
Entry from Alexandria: a relaxed TcCl2 crystal (PBE).

Calculated values
mass density: 3.76 Mg/m³
ΔE_f (raw): 0.18 eV per atom
polymorph energy (0 for the lowest one): 739 meV/atom
total magnetic moment: 15.01 μB/cell
uncorrected energy: -40.5 eV/cell
crystal system: hexagonal

Unit cell a=7.0756 b=7.0756 c=5.1594 alpha=90.00 beta=90.00 gamma=120.00
Element x y z (fractional)
Tc1 0.0000 0.0000 0.0000
Tc2 0.3333 0.6667 0.5000
Tc3 0.6667 0.3333 0.5000
Cl1 0.0000 0.2926 0.5000
Cl2 0.0000 0.6420 0.0000
Cl3 0.2926 0.0000 0.5000
Cl4 0.3580 0.3580 0.0000
Cl5 0.6420 0.0000 0.0000
Cl6 0.7074 0.7074 0.5000

---

Entry 7:
Entry from Alexandria: a relaxed CdCoP3 crystal (PBE).

Calculated values
mass density: 4.97 Mg/m³
polymorph energy (0 for the lowest one): 0 meV/atom
total magnetic moment: 0.96 μB/cell
uncorrected energy: -21.7 eV/cell
crystal system: cubic

Unit cell a=4.4516 b=4.4516 c=4.4516 alpha=90.00 beta=90.00 gamma=90.00
Element x y z (fractional)
Cd1 0.0000 0.0000 0.0000
Co1 0.5000 0.5000 0.5000
P1 0.0000 0.5000 0.5000
P2 0.5000 0.0000 0.5000
P3 0.5000 0.5000 0.0000

---

Entry 8:
Entry from Alexandria: a relaxed BaCa2Zr crystal (PBE).

Calculated values
mass density: 3.35 Mg/m³
polymorph energy (0 for the lowest one): 135 meV/atom
total magnetic moment: 2.85 μB/cell
uncorrected energy: -12.6 eV/cell
crystal system: tetragonal

Unit cell a=6.4400 b=6.4400 c=6.4400 alpha=130.00 beta=130.00 gamma=73.41
Element x y z (fractional)
Ba1 0.0000 0.0000 0.0000
Ca1 0.2500 0.7500 0.5000
Ca2 0.7500 0.2500 0.5000
Zr1 0.5000 0.5000 0.0000

---

Entry 9:
Entry from Alexandria: a relaxed CdSbPd4 crystal (PBE).

Calculated values
mass density: 10.68 Mg/m³
ΔE_f (raw): -0.33 eV per atom
polymorph energy (0 for the lowest one): 0 meV/atom
total magnetic moment: 0.00 μB/cell
uncorrected energy: -27.8 eV/cell
crystal system: monoclinic

Unit cell a=5.0550 b=5.0550 c=6.2784 alpha=108.11 beta=108.11 gamma=42.71
Element x y z (fractional)
Cd1 0.0000 0.0000 0.0000
Sb1 0.0000 0.0000 0.5000
Pd1 0.3318 0.3318 0.1735
Pd2 0.3420 0.3420 0.6615
Pd3 0.6580 0.6580 0.3385
Pd4 0.6682 0.6682 0.8265

---

Entry 10:
Entry from Alexandria: a relaxed CrRhC2 crystal (PBE).

Calculated values
mass density: 6.55 Mg/m³
polymorph energy (0 for the lowest one): 0 meV/atom
total magnetic moment: 0.00 μB/cell
uncorrected energy: -66.6 eV/cell
crystal system: tetragonal

Unit cell a=5.4882 b=5.4882 c=5.4882 alpha=131.52 beta=131.52 gamma=70.99
Element x y z (fractional)
Cr1 0.0000 0.0000 0.0000
Cr2 0.7500 0.2500 0.5000
Rh1 0.2500 0.7500 0.5000
Rh2 0.5000 0.5000 0.0000
C1 0.1058 0.6250 0.9808
C2 0.3750 0.3558 0.4808
C3 0.6442 0.1250 0.0192
C4 0.8750 0.8942 0.5192

---

Entry 11:
Entry from Alexandria: a relaxed VGa2SnSb crystal (PBE).

Calculated values
mass density: 4.55 Mg/m³
ΔE_f (raw): 1.31 eV per atom
total magnetic moment: 0.22 μB/cell
uncorrected energy: -16.7 eV/cell
crystal system: tetragonal

Unit cell a=5.2066 b=5.2066 c=5.8017 alpha=90.00 beta=90.00 gamma=90.00
Element x y z (fractional)
V1 0.0000 0.0000 0.0000
Ga1 0.0000 0.5000 0.5000
Ga2 0.5000 0.0000 0.5000
Sn1 0.5000 0.5000 0.0000
Sb1 0.5000 0.5000 0.5000

---

Entry 12:
Entry from Alexandria: a relaxed NaTiAs2Ir crystal (PBE).

Calculated values
mass density: 6.69 Mg/m³
total magnetic moment: 0.00 μB/cell
uncorrected energy: -20.5 eV/cell
crystal system: tetragonal

Unit cell a=4.7192 b=4.7192 c=4.6020 alpha=90.00 beta=90.00 gamma=90.00
Element x y z (fractional)
Na1 0.0000 0.0000 0.0000
Ti1 0.5000 0.5000 0.5000
As1 0.0000 0.5000 0.0000
As2 0.5000 0.0000 0.0000
Ir1 0.0000 0.0000 0.5000

---

Entry 13:
Entry from Alexandria: a relaxed ZnHg2Pd6 crystal (PBE).

Calculated values
mass density: 12.02 Mg/m³
polymorph energy (0 for the lowest one): 0 meV/atom
total magnetic moment: 0.00 μB/cell
uncorrected energy: -34.2 eV/cell
crystal system: orthorhombic

Unit cell a=7.9177 b=7.9177 c=2.8990 alpha=90.00 beta=90.00 gamma=122.89
Element x y z (fractional)
Zn1 0.0000 0.0000 0.0000
Hg1 0.3173 0.6827 0.5000
Hg2 0.6827 0.3173 0.5000
Pd1 0.0209 0.3378 0.0000
Pd2 0.3065 0.3065 0.5000
Pd3 0.3378 0.0209 0.0000
Pd4 0.6622 0.9791 0.0000
Pd5 0.6935 0.6935 0.5000
Pd6 0.9791 0.6622 0.0000

---

Entry 14:
Entry from Alexandria: a relaxed Mg3Au crystal (PBE).

Calculated values
mass density: 5.79 Mg/m³
polymorph energy (0 for the lowest one): 60 meV/atom
total magnetic moment: 0.00 μB/cell
uncorrected energy: -19.0 eV/cell
crystal system: orthorhombic

Unit cell a=4.7987 b=6.1579 c=5.2391 alpha=90.00 beta=90.00 gamma=90.00
Element x y z (fractional)
Mg1 0.2500 0.0011 0.1722
Mg2 0.2500 0.4989 0.1722
Mg3 0.2500 0.7500 0.6387
Mg4 0.7500 0.2500 0.3613
Mg5 0.7500 0.5011 0.8278
Mg6 0.7500 0.9989 0.8278
Au1 0.2500 0.2500 0.6851
Au2 0.7500 0.7500 0.3149

---

Entry 15:
Entry from Alexandria: a relaxed LiCaAl2 crystal (PBE).

Calculated values
mass density: 1.90 Mg/m³
polymorph energy (0 for the lowest one): 255 meV/atom
total magnetic moment: 0.00 μB/cell
uncorrected energy: -11.0 eV/cell
crystal system: trigonal

Unit cell a=9.8261 b=9.8261 c=9.8261 alpha=19.04 beta=19.04 gamma=19.04
Element x y z (fractional)
Li1 0.0000 0.0000 0.0000
Ca1 0.5000 0.5000 0.5000
Al1 0.2562 0.2562 0.2562
Al2 0.7438 0.7438 0.7438

---

Entry 16:
Entry from Alexandria: a relaxed RbTbBi2 crystal (PBE).

Calculated values
mass density: 6.79 Mg/m³
polymorph energy (0 for the lowest one): 132 meV/atom
total magnetic moment: 0.00 μB/cell
uncorrected energy: -14.8 eV/cell
crystal system: trigonal

Unit cell a=9.3607 b=9.3607 c=9.3607 alpha=28.22 beta=28.22 gamma=28.22
Element x y z (fractional)
Rb1 0.0000 0.0000 0.0000
Tb1 0.5000 0.5000 0.5000
Bi1 0.2317 0.2317 0.2317
Bi2 0.7683 0.7683 0.7683

---

Entry 17:
Entry from Alexandria: a relaxed Zr2CrSe2Cl4 crystal (PBE).

Calculated values
mass density: 4.13 Mg/m³
ΔE_f (raw): -1.25 eV per atom
total magnetic moment: 0.02 μB/cell
uncorrected energy: -52.3 eV/cell
crystal system: trigonal

Unit cell a=3.3486 b=3.3486 c=22.1077 alpha=90.00 beta=90.00 gamma=120.00
Element x y z (fractional)
Zr1 0.0000 0.0000 0.0000
Zr2 0.3333 0.6667 0.3310
Cr1 0.3333 0.6667 0.6743
Se1 0.0000 0.0000 0.6050
Se2 0.0000 0.0000 0.7437
Cl1 0.0000 0.0000 0.2518
Cl2 0.0000 0.0000 0.4101
Cl3 0.3333 0.6667 0.0793
Cl4 0.3333 0.6667 0.9210

---

Entry 18:
Entry from Alexandria: a relaxed LiTcBr2 crystal (PBE).

Calculated values
mass density: 4.93 Mg/m³
ΔE_f (raw): -0.03 eV per atom
polymorph energy (0 for the lowest one): 72 meV/atom
total magnetic moment: 4.01 μB/cell
uncorrected energy: -15.8 eV/cell
crystal system: orthorhombic

Unit cell a=7.0992 b=7.0992 c=7.0992 alpha=151.20 beta=148.77 gamma=43.00
Element x y z (fractional)
Li1 0.0000 0.0000 0.0000
Tc1 0.7863 0.2863 0.5000
Br1 0.1870 0.6870 0.5000
Br2 0.4454 0.4454 0.0000

---

Entry 19:
Entry from Alexandria: a relaxed YPu4Te5 crystal (PBE).

Calculated values
mass density: 9.25 Mg/m³
ΔE_f (raw): -1.14 eV per atom
total magnetic moment: 23.55 μB/cell
uncorrected energy: -90.9 eV/cell
crystal system: orthorhombic

Unit cell a=11.7103 b=11.7103 c=11.7103 alpha=158.27 beta=149.01 gamma=38.17
Element x y z (fractional)
Y1 0.0000 0.0000 0.0000
Pu1 0.1992 0.1992 0.0000
Pu2 0.4004 0.4004 0.0000
Pu3 0.5996 0.5996 0.0000
Pu4 0.8008 0.8008 0.0000
Te1 0.0985 0.5985 0.5000
Te2 0.2999 0.7999 0.5000
Te3 0.5000 0.0000 0.5000
Te4 0.7001 0.2001 0.5000
Te5 0.9015 0.4015 0.5000

---

Entry 20:
Entry from Alexandria: a relaxed PmBe4Ir crystal (PBE).

Calculated values
mass density: 8.14 Mg/m³
total magnetic moment: 0.00 μB/cell
uncorrected energy: -29.8 eV/cell
crystal system: cubic

Unit cell a=4.7571 b=4.7571 c=4.7571 alpha=60.00 beta=60.00 gamma=60.00
Element x y z (fractional)
Pm1 0.0000 0.0000 0.0000
Be1 0.1376 0.6208 0.6208
Be2 0.6208 0.1376 0.6208
Be3 0.6208 0.6208 0.1376
Be4 0.6208 0.6208 0.6208
Ir1 0.2500 0.2500 0.2500